No. 1
A plane-wave DFT calculation with PBE was carried out for crystalline Ac5Ho at its relaxed geometry.

The value obtained for the uncorrected energy is -4.13 eV/atom. As for the mass density: 8.40 g cm⁻³.

Cell lengths 14.394, 3.966, 9.303 Å; angles 90.00, 104.54, 90.00 degrees
Space group Cm (No. 8)
Symmetry-distinct sites (fractional):
Ac 0.000 0.000 0.000 (multiplicity 2)
Ac 0.052 0.000 0.618 (multiplicity 2)
Ac 0.162 0.500 0.333 (multiplicity 2)
Ac 0.324 0.000 0.677 (multiplicity 2)
Ac 0.381 0.000 0.269 (multiplicity 2)
Ho 0.216 0.500 0.947 (multiplicity 2)

No. 2
A plane-wave DFT calculation with PBE was carried out for crystalline AcHo4 at its relaxed geometry.

The value obtained for the uncorrected energy is -4.43 eV/atom. As for the mass density: 8.79 g cm⁻³.

Cell lengths 3.636, 3.636, 25.353 Å; angles 90.00, 90.00, 90.00 degrees
Space group I4/mmm (No. 139)
Symmetry-distinct sites (fractional):
Ac 0.000 0.000 0.000 (multiplicity 2)
Ho 0.000 0.000 0.202 (multiplicity 4)
Ho 0.000 0.000 0.393 (multiplicity 4)

No. 3
A plane-wave DFT calculation with PBE was carried out for crystalline AcHo7 at its relaxed geometry.

The value obtained for the uncorrected energy is -4.48 eV/atom. As for the mass density: 8.90 g cm⁻³.

Cell lengths 10.101, 10.101, 10.101 Å; angles 90.00, 90.00, 90.00 degrees
Space group Fm-3m (No. 225)
Symmetry-distinct sites (fractional):
Ac 0.000 0.000 0.000 (multiplicity 4)
Ho 0.000 0.000 0.500 (multiplicity 4)
Ho 0.000 0.250 0.250 (multiplicity 24)

No. 4
A plane-wave DFT calculation with PBE was carried out for crystalline Ac2Ho13 at its relaxed geometry.

The value obtained for the uncorrected energy is -3.91 eV/atom. As for the mass density: 7.56 g cm⁻³.

Cell lengths 9.4443, 9.4443, 22.1719 Å; angles 90.00, 90.00, 120.00 degrees
Space group R-3m (No. 166, hexagonal axes)
Symmetry-distinct sites (fractional):
Ac 0.0000 0.0000 0.2323 (multiplicity 6)
Ho 0.0000 0.0000 0.5000 (multiplicity 3)
Ho 0.1008 0.5504 0.2975 (multiplicity 18)
Ho 0.1017 0.5509 0.5733 (multiplicity 18)

No. 5
A plane-wave DFT calculation with PBE was carried out for crystalline AcHo3 at its relaxed geometry.

The value obtained for the uncorrected energy is -4.40 eV/atom. As for the mass density: 8.73 g cm⁻³.

Cell lengths 3.747, 11.610, 6.312 Å; angles 90.00, 90.00, 90.00 degrees
Space group Imm2 (No. 44)
Symmetry-distinct sites (fractional):
Ac 0.000 0.000 0.000 (multiplicity 2)
Ho 0.000 0.244 0.648 (multiplicity 4)
Ho 0.000 0.500 0.991 (multiplicity 2)

No. 6
A plane-wave DFT calculation with PBE was carried out for crystalline AcHo3 at its relaxed geometry.

The value obtained for the uncorrected energy is -4.32 eV/atom. As for the mass density: 8.68 g cm⁻³.

Cell lengths 8.203, 8.203, 8.203 Å; angles 90.00, 90.00, 90.00 degrees
Space group Fm-3m (No. 225)
Symmetry-distinct sites (fractional):
Ac 0.000 0.000 0.000 (multiplicity 4)
Ho 0.000 0.000 0.500 (multiplicity 4)
Ho 0.250 0.250 0.250 (multiplicity 8)

| no. | ΔH_f (0 K) (eV/f.u.) |
| --- | --- |
| 1 | 0.3 |
| 2 | 0.3 |
| 3 | 0.3 |
| 4 | 9.1 |
| 5 | 0.2 |
| 6 | 0.5 |